A geometry-optimized NbAlP2 structure. Source: Alexandria via LeMat-Bulk, functional PBE-GGA.

Cell and atoms, written as CIF:
```
data_NbAlP2
_chemical_formula_sum 'Nb2 Al2 P4'
_cell_length_a 6.636
_cell_length_b 6.636
_cell_length_c 6.636
_cell_angle_alpha 128.77
_cell_angle_beta 128.77
_cell_angle_gamma 75.38
_space_group_name_H-M_alt 'P 1'
_space_group_IT_number 1
loop_
_space_group_symop_operation_xyz
'x,y,z'
loop_
_atom_site_label
_atom_site_fract_x
_atom_site_fract_y
_atom_site_fract_z
Nb1 0.000 0.000 0.000
Nb2 0.750 0.250 0.500
Al1 0.250 0.750 0.500
Al2 0.500 0.500 0.000
P1 0.135 0.625 0.010
P2 0.375 0.385 0.510
P3 0.615 0.125 0.990
P4 0.875 0.865 0.490
```

Calculated values
DOS(E_F): 1.08 states/eV/atom
Raw total energy: -6.322 eV per atom
Magnetization: 0.1245 μB/atom
Formation energy: -164 meV per atom

***

A geometry-optimized Cd2SiCl structure. Source: Alexandria via LeMat-Bulk, functional PBE-GGA.

Cell and atoms, written as CIF:
```
data_Cd2SiCl
_chemical_formula_sum 'Cd2 Si1 Cl1'
_cell_length_a 5.008
_cell_length_b 5.008
_cell_length_c 5.008
_cell_angle_alpha 60.00
_cell_angle_beta 60.00
_cell_angle_gamma 60.00
_space_group_name_H-M_alt 'P 1'
_space_group_IT_number 1
loop_
_space_group_symop_operation_xyz
'x,y,z'
loop_
_atom_site_label
_atom_site_fract_x
_atom_site_fract_y
_atom_site_fract_z
Cd1 0.250 0.250 0.250
Cd2 0.750 0.750 0.750
Si1 0.000 0.000 0.000
Cl1 0.500 0.500 0.500
```

Calculated values
DOS(E_F): 1.31 states/eV/atom
Raw total energy: -1.994 eV per atom
Formation energy (no corrections): 281 meV per atom
Excess energy over the best structure of this formula in the dataset: 358 meV/atom
Magnetization: 0.0000 μB/atom

***

A geometry-optimized Sc2SnOsC structure. Source: Alexandria via LeMat-Bulk, functional PBE-GGA.

Cell and atoms, written as CIF:
```
data_Sc2SnOsC
_chemical_formula_sum 'Sc2 Sn1 Os1 C1'
_cell_length_a 4.620
_cell_length_b 4.620
_cell_length_c 3.971
_cell_angle_alpha 90.00
_cell_angle_beta 90.00
_cell_angle_gamma 90.00
_space_group_name_H-M_alt 'P 1'
_space_group_IT_number 1
loop_
_space_group_symop_operation_xyz
'x,y,z'
loop_
_atom_site_label
_atom_site_fract_x
_atom_site_fract_y
_atom_site_fract_z
Sc1 0.000 0.500 0.000
Sc2 0.500 0.000 0.000
Sn1 0.000 0.000 0.500
Os1 0.500 0.500 0.500
C1 0.500 0.500 0.000
```

Calculated values
DOS(E_F): 0.44 states/eV/atom
Raw total energy: -7.893 eV per atom
Magnetization: 0.0000 μB/atom
Formation energy: -469 meV per atom

***

A geometry-optimized BaB2Rh structure. Source: Alexandria via LeMat-Bulk, functional PBE-GGA.

Cell and atoms, written as CIF:
```
data_BaB2Rh
_chemical_formula_sum 'Ba2 B4 Rh2'
_cell_length_a 7.044
_cell_length_b 7.044
_cell_length_c 7.044
_cell_angle_alpha 136.82
_cell_angle_beta 136.82
_cell_angle_gamma 62.71
_space_group_name_H-M_alt 'P 1'
_space_group_IT_number 1
loop_
_space_group_symop_operation_xyz
'x,y,z'
loop_
_atom_site_label
_atom_site_fract_x
_atom_site_fract_y
_atom_site_fract_z
Ba1 0.375 0.625 0.750
Ba2 0.625 0.375 0.250
B1 0.000 0.000 0.000
B2 0.000 0.000 0.500
B3 0.000 0.500 0.000
B4 0.500 0.000 0.500
Rh1 0.125 0.875 0.250
Rh2 0.875 0.125 0.750
```

Calculated values
DOS(E_F): 1.34 states/eV/atom
Raw total energy: -5.723 eV per atom
Excess energy over the best structure of this formula in the dataset: 0 meV/atom
Magnetization: 0.0000 μB/atom
Formation energy: -65 meV per atom

***

A geometry-optimized CaMnSbI2 structure. Source: Alexandria via LeMat-Bulk, functional PBE-GGA.

Cell and atoms, written as CIF:
```
data_CaMnSbI2
_chemical_formula_sum 'Ca1 Mn1 Sb1 I2'
_cell_length_a 5.922
_cell_length_b 5.922
_cell_length_c 6.356
_cell_angle_alpha 90.00
_cell_angle_beta 90.00
_cell_angle_gamma 90.00
_space_group_name_H-M_alt 'P 1'
_space_group_IT_number 1
loop_
_space_group_symop_operation_xyz
'x,y,z'
loop_
_atom_site_label
_atom_site_fract_x
_atom_site_fract_y
_atom_site_fract_z
Ca1 0.000 0.000 0.000
Mn1 0.500 0.500 0.500
Sb1 0.000 0.000 0.500
I1 0.000 0.500 0.000
I2 0.500 0.000 0.000
```

Calculated values
DOS(E_F): 0.49 states/eV/atom
Raw total energy: -3.523 eV per atom
Formation energy (no corrections): 156 meV per atom
Excess energy over the best structure of this formula in the dataset: 138 meV/atom
Magnetization: 0.7954 μB/atom

***

A geometry-optimized BaPtSe2 structure. Source: Alexandria via LeMat-Bulk, functional PBE-GGA.

Cell and atoms, written as CIF:
```
data_BaPtSe2
_chemical_formula_sum 'Ba1 Pt1 Se2'
_cell_length_a 3.979
_cell_length_b 3.979
_cell_length_c 6.823
_cell_angle_alpha 90.00
_cell_angle_beta 90.00
_cell_angle_gamma 90.00
_space_group_name_H-M_alt 'P 1'
_space_group_IT_number 1
loop_
_space_group_symop_operation_xyz
'x,y,z'
loop_
_atom_site_label
_atom_site_fract_x
_atom_site_fract_y
_atom_site_fract_z
Ba1 0.000 0.000 0.000
Pt1 0.500 0.500 0.443
Se1 0.000 0.000 0.469
Se2 0.500 0.500 0.807
```

Calculated values
DOS(E_F): 0.67 states/eV/atom
Raw total energy: -4.358 eV per atom
Formation energy (no corrections): -625 meV per atom
Excess energy over the best structure of this formula in the dataset: 448 meV/atom
Magnetization: 0.0000 μB/atom

***

A geometry-optimized Nb2SnB structure. Source: Alexandria via LeMat-Bulk, functional PBE-GGA.

Cell and atoms, written as CIF:
```
data_Nb2SnB
_chemical_formula_sum 'Nb2 Sn1 B1'
_cell_length_a 8.396
_cell_length_b 8.396
_cell_length_c 8.396
_cell_angle_alpha 22.26
_cell_angle_beta 22.26
_cell_angle_gamma 22.26
_space_group_name_H-M_alt 'P 1'
_space_group_IT_number 1
loop_
_space_group_symop_operation_xyz
'x,y,z'
loop_
_atom_site_label
_atom_site_fract_x
_atom_site_fract_y
_atom_site_fract_z
Nb1 0.116 0.116 0.116
Nb2 0.884 0.884 0.884
Sn1 0.000 0.000 0.000
B1 0.500 0.500 0.500
```

Calculated values
DOS(E_F): 0.85 states/eV/atom
Raw total energy: -7.760 eV per atom
Excess energy over the best structure of this formula in the dataset: 0 meV/atom
Magnetization: 0.0000 μB/atom
Formation energy: -55 meV per atom

***

A geometry-optimized Ce2ZnSn structure. Source: Alexandria via LeMat-Bulk, functional PBE-GGA.

Cell and atoms, written as CIF:
```
data_Ce2ZnSn
_chemical_formula_sum 'Ce2 Zn1 Sn1'
_cell_length_a 4.030
_cell_length_b 4.030
_cell_length_c 6.270
_cell_angle_alpha 90.00
_cell_angle_beta 90.00
_cell_angle_gamma 90.00
_space_group_name_H-M_alt 'P 1'
_space_group_IT_number 1
loop_
_space_group_symop_operation_xyz
'x,y,z'
loop_
_atom_site_label
_atom_site_fract_x
_atom_site_fract_y
_atom_site_fract_z
Ce1 0.000 0.000 0.234
Ce2 0.000 0.000 0.766
Zn1 0.500 0.500 0.000
Sn1 0.500 0.500 0.500
```

Calculated values
DOS(E_F): 2.35 states/eV/atom
Raw total energy: -4.666 eV per atom
Magnetization: 0.4672 μB/atom
Formation energy: -380 meV per atom

***

A geometry-optimized CoCu2Pd6 structure. Source: Alexandria via LeMat-Bulk, functional PBE-GGA.

Cell and atoms, written as CIF:
```
data_CoCu2Pd6
_chemical_formula_sum 'Co1 Cu2 Pd6'
_cell_length_a 7.216
_cell_length_b 7.216
_cell_length_c 4.564
_cell_angle_alpha 98.85
_cell_angle_beta 98.85
_cell_angle_gamma 141.50
_space_group_name_H-M_alt 'P 1'
_space_group_IT_number 1
loop_
_space_group_symop_operation_xyz
'x,y,z'
loop_
_atom_site_label
_atom_site_fract_x
_atom_site_fract_y
_atom_site_fract_z
Co1 0.000 0.000 0.000
Cu1 0.169 0.831 0.500
Cu2 0.831 0.169 0.500
Pd1 0.160 0.487 0.165
Pd2 0.316 0.316 0.659
Pd3 0.487 0.160 0.165
Pd4 0.513 0.840 0.835
Pd5 0.684 0.684 0.341
Pd6 0.840 0.513 0.835
```

Calculated values
DOS(E_F): 1.30 states/eV/atom
Raw total energy: -5.121 eV per atom
Magnetization: 0.3868 μB/atom
Formation energy: 40 meV per atom

***

A geometry-optimized Ca2TaAs structure. Source: Alexandria via LeMat-Bulk, functional PBE-GGA.

Cell and atoms, written as CIF:
```
data_Ca2TaAs
_chemical_formula_sum 'Ca2 Ta1 As1'
_cell_length_a 10.220
_cell_length_b 10.220
_cell_length_c 10.220
_cell_angle_alpha 18.65
_cell_angle_beta 18.65
_cell_angle_gamma 18.65
_space_group_name_H-M_alt 'P 1'
_space_group_IT_number 1
loop_
_space_group_symop_operation_xyz
'x,y,z'
loop_
_atom_site_label
_atom_site_fract_x
_atom_site_fract_y
_atom_site_fract_z
Ca1 0.245 0.245 0.245
Ca2 0.755 0.755 0.755
Ta1 0.000 0.000 0.000
As1 0.500 0.500 0.500
```

Calculated values
DOS(E_F): 1.15 states/eV/atom
Raw total energy: -4.937 eV per atom
Magnetization: 0.0000 μB/atom
Formation energy: 190 meV per atom

***

A geometry-optimized TmPa2Sn structure. Source: Alexandria via LeMat-Bulk, functional PBE-GGA.

Cell and atoms, written as CIF:
```
data_TmPa2Sn
_chemical_formula_sum 'Tm1 Pa2 Sn1'
_cell_length_a 11.907
_cell_length_b 11.907
_cell_length_c 11.907
_cell_angle_alpha 15.52
_cell_angle_beta 15.52
_cell_angle_gamma 15.52
_space_group_name_H-M_alt 'P 1'
_space_group_IT_number 1
loop_
_space_group_symop_operation_xyz
'x,y,z'
loop_
_atom_site_label
_atom_site_fract_x
_atom_site_fract_y
_atom_site_fract_z
Tm1 0.000 0.000 0.000
Pa1 0.088 0.088 0.088
Pa2 0.912 0.912 0.912
Sn1 0.500 0.500 0.500
```

Calculated values
DOS(E_F): 1.84 states/eV/atom
Raw total energy: -6.685 eV per atom
Excess energy over the best structure of this formula in the dataset: 388 meV/atom
Magnetization: 0.0000 μB/atom
Formation energy: 182 meV per atom

***

A geometry-optimized PrBiS2O structure. Source: Alexandria via LeMat-Bulk, functional PBE-GGA.

Cell and atoms, written as CIF:
```
data_PrBiS2O
_chemical_formula_sum 'Pr2 Bi2 S4 O2'
_cell_length_a 4.028
_cell_length_b 4.028
_cell_length_c 14.253
_cell_angle_alpha 90.00
_cell_angle_beta 90.00
_cell_angle_gamma 90.00
_space_group_name_H-M_alt 'P 1'
_space_group_IT_number 1
loop_
_space_group_symop_operation_xyz
'x,y,z'
loop_
_atom_site_label
_atom_site_fract_x
_atom_site_fract_y
_atom_site_fract_z
Pr1 0.250 0.250 0.087
Pr2 0.750 0.750 0.913
Bi1 0.250 0.250 0.633
Bi2 0.750 0.750 0.367
S1 0.250 0.250 0.394
S2 0.250 0.250 0.810
S3 0.750 0.750 0.190
S4 0.750 0.750 0.606
O1 0.250 0.750 0.000
O2 0.750 0.250 0.000
```

Calculated values
Raw total energy: -6.052 eV per atom
Formation energy (no corrections): -1677 meV per atom
Magnetization: 0.0000 μB/atom